Material: HgMo3Cl
Method: DFT, PBE
State: optimized geometry

Cell: 5.3108 5.3108 5.3108 Å, 90.00 90.00 90.00°
Closest atoms and distances in Å follow each position.
Space group Pm-3m (No. 221)
One atom of each set of equivalent atoms:
1 Hg 0.0000 0.0000 0.0000  6 Mo 2.66
2 Mo 0.0000 0.0000 0.5000  2 Hg 2.66
3 Cl 0.5000 0.5000 0.5000  12 Mo 3.76

ΔE_f (raw) = 2.45 eV/atom
calculated total energy = -4.474 eV per atom